Record 1
# PBE-GGA LaTlMo, optimized geometry
# Energy of formation, eV per atom: 0.500
# Total energy, eV for the cell shown: -33.247
# DOS(E_F), states/eV per cell: 6.66
data_LaTlMo
_symmetry_space_group_name_H-M 'I 4 m m'
_symmetry_Int_Tables_number 107
_symmetry_space_group_name_Hall 'I 4 -2'
_cell_length_a 3.1438
_cell_length_b 3.1438
_cell_length_c 14.5263
_cell_angle_alpha 90.00
_cell_angle_beta 90.00
_cell_angle_gamma 90.00
loop_
_atom_site_label
_atom_site_fract_x
_atom_site_fract_y
_atom_site_fract_z
La1 0.0000 0.0000 0.0000
Tl1 0.0000 0.0000 0.6932
Mo1 0.0000 0.0000 0.3368


Record 2
# PBE-GGA TiNbC3, optimized geometry
# Energy of formation, eV per atom: 1.594
# Total energy, eV for the cell shown: -37.669
# DOS(E_F), states/eV per cell: 6.01
data_TiNbC3
_symmetry_space_group_name_H-M 'P m -3 m'
_symmetry_Int_Tables_number 221
_symmetry_space_group_name_Hall '-P 4 2 3'
_cell_length_a 3.8990
_cell_length_b 3.8990
_cell_length_c 3.8990
_cell_angle_alpha 90.00
_cell_angle_beta 90.00
_cell_angle_gamma 90.00
loop_
_atom_site_label
_atom_site_fract_x
_atom_site_fract_y
_atom_site_fract_z
Ti1 0.0000 0.0000 0.0000
Nb1 0.5000 0.5000 0.5000
C1 0.0000 0.0000 0.5000


Record 3
# PBE-GGA Rb3La2PrO6, optimized geometry
# Energy relative to the elements, uncorrected, eV/atom: -2.59
# Total energy, eV for the cell shown: -156.643
# DOS(E_F), states/eV per cell: 0.00
data_Rb3La2PrO6
_symmetry_space_group_name_H-M 'C 1 2/m 1'
_symmetry_Int_Tables_number 12
_cell_length_a 6.4721
_cell_length_b 11.2106
_cell_length_c 6.9498
_cell_angle_alpha 90.00
_cell_angle_beta 108.08
_cell_angle_gamma 90.00
loop_
_symmetry_equiv_pos_as_xyz
'x,y,z'
'-x,-y,-z'
'-x,y,-z'
'x,-y,z'
'x+1/2,y+1/2,z'
'-x+1/2,-y+1/2,-z'
'-x+1/2,y+1/2,-z'
'x+1/2,-y+1/2,z'
loop_
_atom_site_label
_atom_site_fract_x
_atom_site_fract_y
_atom_site_fract_z
Rb1 0.0000 0.0000 0.0000
Rb2 0.0000 0.3335 0.0000
La1 0.0000 0.1667 0.5000
Pr1 0.0000 0.5000 0.5000
O1 0.2262 0.3342 0.6811
O2 0.2287 0.0000 0.6811


Record 4
# PBE-GGA Cr2AgP, optimized geometry
# Energy of formation, eV per atom: 0.388
# Total energy, eV for the cell shown: -25.956
# DOS(E_F), states/eV per cell: 3.05
data_Cr2AgP
_symmetry_space_group_name_H-M 'P 4/m m m'
_symmetry_Int_Tables_number 123
_symmetry_space_group_name_Hall '-P 4 2'
_cell_length_a 4.2869
_cell_length_b 4.2869
_cell_length_c 3.3736
_cell_angle_alpha 90.00
_cell_angle_beta 90.00
_cell_angle_gamma 90.00
loop_
_atom_site_label
_atom_site_fract_x
_atom_site_fract_y
_atom_site_fract_z
Cr1 0.0000 0.5000 0.0000
Ag1 0.0000 0.0000 0.5000
P1 0.5000 0.5000 0.5000


Copy entry 4 word for word.
# PBE-GGA Cr2AgP, optimized geometry
# Energy of formation, eV per atom: 0.388
# Total energy, eV for the cell shown: -25.956
# DOS(E_F), states/eV per cell: 3.05
data_Cr2AgP
_symmetry_space_group_name_H-M 'P 4/m m m'
_symmetry_Int_Tables_number 123
_symmetry_space_group_name_Hall '-P 4 2'
_cell_length_a 4.2869
_cell_length_b 4.2869
_cell_length_c 3.3736
_cell_angle_alpha 90.00
_cell_angle_beta 90.00
_cell_angle_gamma 90.00
loop_
_atom_site_label
_atom_site_fract_x
_atom_site_fract_y
_atom_site_fract_z
Cr1 0.0000 0.5000 0.0000
Ag1 0.0000 0.0000 0.5000
P1 0.5000 0.5000 0.5000


Which value of total energy does entry 2 give? -37.669 eV for the cell shown


Copy entry 1 word for word.
# PBE-GGA LaTlMo, optimized geometry
# Energy of formation, eV per atom: 0.500
# Total energy, eV for the cell shown: -33.247
# DOS(E_F), states/eV per cell: 6.66
data_LaTlMo
_symmetry_space_group_name_H-M 'I 4 m m'
_symmetry_Int_Tables_number 107
_symmetry_space_group_name_Hall 'I 4 -2'
_cell_length_a 3.1438
_cell_length_b 3.1438
_cell_length_c 14.5263
_cell_angle_alpha 90.00
_cell_angle_beta 90.00
_cell_angle_gamma 90.00
loop_
_atom_site_label
_atom_site_fract_x
_atom_site_fract_y
_atom_site_fract_z
La1 0.0000 0.0000 0.0000
Tl1 0.0000 0.0000 0.6932
Mo1 0.0000 0.0000 0.3368